# 1
Here is crystalline Rb3CaOs2O9 at its relaxed geometry from Alexandria. Energies are from PBE.

Size of the total moment in μB/cell: 0.0

Structure (CIF):
```
data_Rb3CaOs2O9
_space_group_name_H-M_alt 'P -3 m 1'
_space_group_IT_number 164
_space_group_name_Hall '-P 3 2"'
_cell_length_a 5.8243
_cell_length_b 5.8243
_cell_length_c 7.2791
_cell_angle_alpha 90.00
_cell_angle_beta 90.00
_cell_angle_gamma 120.00
loop_
_atom_site_label
_atom_site_type_symbol
_atom_site_fract_x
_atom_site_fract_y
_atom_site_fract_z
Rb1 Rb 0.0000 0.0000 0.0000
Rb2 Rb 0.3333 0.6667 0.6610
Ca1 Ca 0.0000 0.0000 0.5000
Os1 Os 0.3333 0.6667 0.1558
O1 O 0.0000 0.5000 0.0000
O2 O 0.1817 0.3635 0.3013
```



# 2
Here is crystalline Rb3Ca2OsO6 at its relaxed geometry from Alexandria. Energies are from PBE.

Size of the total moment in μB/cell: 6.0

Structure (CIF):
```
data_Rb3Ca2OsO6
_space_group_name_H-M_alt 'C 1 2/m 1'
_space_group_IT_number 12
_cell_length_a 5.939
_cell_length_b 10.282
_cell_length_c 6.704
_cell_angle_alpha 90.00
_cell_angle_beta 107.13
_cell_angle_gamma 90.00
loop_
_space_group_symop_operation_xyz
'x,y,z'
'-x,-y,-z'
'-x,y,-z'
'x,-y,z'
'x+1/2,y+1/2,z'
'-x+1/2,-y+1/2,-z'
'-x+1/2,y+1/2,-z'
'x+1/2,-y+1/2,z'
loop_
_atom_site_label
_atom_site_type_symbol
_atom_site_fract_x
_atom_site_fract_y
_atom_site_fract_z
Rb1 Rb 0.000 0.000 0.000
Rb2 Rb 0.000 0.332 0.000
Ca1 Ca 0.000 0.167 0.500
Os1 Os 0.000 0.500 0.500
O1 O 0.202 0.356 0.673
O2 O 0.230 0.500 0.324
```



no.,VASP energy (Ha/atom)
1,-0.23243
2,-0.21258